[1]
A plane-wave DFT calculation with meta-GGA SCAN was carried out for ThGe2Os2 at its PBEsol-relaxed geometry.

Output
- ΔH_f (0 K): -561 meV/atom

Cell and atoms, written as POSCAR:
```
ThGe2Os2
1.0
-2.130 2.130 4.970
2.130 -2.130 4.970
2.130 2.130 -4.970
Th Ge Os
1 2 2
Cartesian
0.000 0.000 0.000 Th
0.000 0.000 3.700 Ge
0.000 0.000 6.240 Ge
2.130 0.000 2.485 Os
0.000 2.130 2.485 Os
```


[2]
A plane-wave DFT calculation with meta-GGA SCAN was carried out for MgCd2Ni at its PBEsol-relaxed geometry.

Output
- ΔH_f (0 K): -54 meV/atom

Cell and atoms, written as POSCAR:
```
MgCd2Ni
1.0
3.098 0.000 0.000
0.000 3.098 0.000
0.000 0.000 7.128
Mg Cd Ni
1 2 1
Cartesian
0.000 0.000 0.000 Mg
0.000 0.000 2.961 Cd
1.549 1.549 5.057 Cd
1.549 1.549 1.424 Ni
```


[3]
A plane-wave DFT calculation with meta-GGA SCAN was carried out for LaNiI2O at its PBEsol-relaxed geometry.

Output
- VASP energy: -28.65 eV/atom

Cell and atoms, written as POSCAR:
```
LaNiI2O
1.0
5.559 0.000 0.000
0.000 5.559 0.000
0.000 0.000 3.656
La Ni I O
1 1 2 1
Cartesian
0.000 0.000 0.000 La
2.779 2.779 1.828 Ni
0.000 2.779 1.828 I
2.779 0.000 1.828 I
2.779 2.779 0.000 O
```